VASP calculation (PBE) on a relaxed structure of RbNdSeO.

Output
**Distance to the lowest polymorph of the same formula**: 102.1 meV/atom
**Total magnetic moment**: 0.001 μB per cell
**V**: 279.2 Å³ per cell
**Total DFT energy (no corrections)**: -5.61 eV per atom

Cell: 4.751 8.565 6.860 Å, 90.00 90.00 90.00°
Space group Pmc2_1 (No. 26)
Inequivalent atoms, fractional coordinates:
Rb 0.000 0.199 0.000
Nd 0.500 0.377 0.426
Se 0.000 0.202 0.510
O 0.500 0.412 0.108